# 1
# KCdCo2

A geometry-optimized KCdCo2 structure (PBE, the Alexandria database).

ΔH_f (0 K): 1.05 eV/atom
space group: P4/mmm

a = 5.2757 Å, b = 5.2757 Å, c = 2.7361 Å
α = 90.00°, β = 90.00°, γ = 90.00°
Last column: magnetic moment on the atom in μB.
Fractional coordinates of all 4 atoms:
K (0.5000, 0.0000, 0.5000)  -0.03
Co (0.0000, 0.0000, 0.0000)  1.72
Co (0.5000, 0.5000, 0.0000)  1.72
Cd (0.0000, 0.5000, 0.5000)  -0.03

=====

# 2
# KCdCo2

A geometry-optimized KCdCo2 structure (PBE, the Alexandria database).

ΔH_f (0 K): 1.02 eV/atom
space group: Pmmm

a = 2.8025 Å, b = 5.2530 Å, c = 5.1258 Å
α = 90.00°, β = 90.00°, γ = 90.00°
Last column: magnetic moment on the atom in μB.
Fractional coordinates of all 4 atoms:
Cd (0.0000, 0.5000, 0.5000)  -0.02
Co (0.5000, 0.5000, 0.0000)  1.78
Co (0.0000, 0.0000, 0.0000)  1.80
K (0.5000, 0.0000, 0.5000)  -0.04

=====

# 3
# KCdCo2

A geometry-optimized KCdCo2 structure (PBE, the Alexandria database).

ΔH_f (0 K): 1.05 eV/atom
space group: I-4m2

a = 4.8103 Å, b = 4.8103 Å, c = 4.8103 Å
α = 120.98°, β = 120.98°, γ = 88.31°
Last column: magnetic moment on the atom in μB.
Fractional coordinates of all 4 atoms:
K (0.5000, 0.5000, 0.0000)  -0.02
Co (0.2500, 0.7500, 0.5000)  1.88
Co (0.0000, 0.0000, 0.0000)  1.74
Cd (0.7500, 0.2500, 0.5000)  -0.03

=====

# 4
# KCdCo2

A geometry-optimized KCdCo2 structure (PBE, the Alexandria database).

ΔH_f (0 K): 0.88 eV/atom
space group: P4/mmm

a = 2.8416 Å, b = 2.8416 Å, c = 9.3404 Å
α = 90.00°, β = 90.00°, γ = 89.94°
Last column: magnetic moment on the atom in μB.
Fractional coordinates of all 4 atoms:
Co (0.0000, 0.0000, 0.5414)  1.66
Co (0.0000, 0.0000, 0.9586)  1.66
Cd (0.5000, 0.5000, 0.7500)  -0.04
K (0.5000, 0.5000, 0.2500)  -0.04

=====

# 5
# KCdCo2

A geometry-optimized KCdCo2 structure (PBE, the Alexandria database).

ΔH_f (0 K): 1.10 eV/atom
space group: I4/mmm

a = 5.3393 Å, b = 5.3393 Å, c = 5.3393 Å
α = 134.23°, β = 134.23°, γ = 66.73°
Last column: magnetic moment on the atom in μB.
Fractional coordinates of all 4 atoms:
Cd (0.7500, 0.2500, 0.5000)  -0.03
K (0.2500, 0.7500, 0.5000)  -0.03
Co (0.5000, 0.5000, 0.0000)  1.68
Co (0.0000, 0.0000, 0.0000)  1.68

=====

# 6
# KCdCo2

A geometry-optimized KCdCo2 structure (PBE, the Alexandria database).

ΔH_f (0 K): 1.00 eV/atom
space group: C2/m

a = 5.5646 Å, b = 5.5646 Å, c = 2.7279 Å
α = 82.74°, β = 82.74°, γ = 115.99°
Last column: magnetic moment on the atom in μB.
Fractional coordinates of all 4 atoms:
Co (0.0000, 0.0000, 0.0000)  1.64
Co (0.5000, 0.5000, 0.0000)  1.64
K (0.5000, 0.0000, 0.5000)  -0.04
Cd (0.0000, 0.5000, 0.5000)  -0.04